[1]
Density functional theory data (PBE) for a relaxed structure of BaNa3Ge.

Cell: 6.359 6.359 6.359 Å, 90.00 90.00 90.00°
Fractional positions:
Ba 0.000 0.000 0.000
Na 0.000 0.000 0.500
Na 0.000 0.500 0.000
Na 0.500 0.000 0.000
Ge 0.500 0.500 0.500

Properties
Crystal system: cubic
Space-group type: Pm-3m
Uncorrected energy, eV/atom: -1.05
DOS at the Fermi energy, states/eV/cell: 16.567
Distance to the lowest polymorph of the same formula, meV/atom: 1010
DFT formation energy, eV/atom: 1.053


[2]
Density functional theory data (PBE) for a relaxed structure of Ba2NaGe.

Cell: 5.975 5.975 4.247 Å, 90.00 90.00 90.00°
Fractional positions:
Ba 0.000 0.500 0.000
Ba 0.500 0.000 0.000
Na 0.000 0.000 0.500
Ge 0.500 0.500 0.500

Properties
Crystal system: tetragonal
Space-group type: P4/mmm
Uncorrected energy, eV/atom: -2.64
DOS at the Fermi energy, states/eV/cell: 2.395
DFT formation energy, eV/atom: -0.197


[3]
Density functional theory data (PBE) for a relaxed structure of BaNa3Ge3.

Cell: 10.975 4.099 10.980 Å, 90.00 119.98 90.00°
Fractional positions:
Ba 0.167 0.250 0.333
Ba 0.833 0.750 0.667
Na 0.184 0.250 0.778
Na 0.278 0.750 0.094
Na 0.406 0.750 0.684
Na 0.594 0.250 0.316
Na 0.722 0.250 0.906
Na 0.816 0.750 0.222
Ge 0.028 0.250 0.949
Ge 0.079 0.750 0.528
Ge 0.449 0.750 0.421
Ge 0.551 0.250 0.579
Ge 0.921 0.250 0.472
Ge 0.972 0.750 0.051

Properties
Crystal system: monoclinic
Space-group type: P2_1/m
Uncorrected energy, eV/atom: -3.10
DOS at the Fermi energy, states/eV/cell: 5.721
DFT formation energy, eV/atom: -0.277


[4]
Density functional theory data (PBE) for a relaxed structure of Ba2NaGe.

Cell: 12.156 12.156 12.156 Å, 22.43 22.43 22.43°
Fractional positions:
Ba 0.116 0.116 0.116
Ba 0.884 0.884 0.884
Na 0.000 0.000 0.000
Ge 0.500 0.500 0.500

Properties
Crystal system: trigonal
Space-group type: R-3m
Uncorrected energy, eV/atom: -2.57
DOS at the Fermi energy, states/eV/cell: 3.814
DFT formation energy, eV/atom: -0.122


[5]
Density functional theory data (PBE) for a relaxed structure of BaNaGe4.

Cell: 6.662 6.662 6.662 Å, 143.12 110.61 81.27°
Fractional positions:
Ba 0.000 0.000 0.000
Na 0.500 0.500 0.000
Ge 0.123 0.790 0.333
Ge 0.456 0.790 0.667
Ge 0.544 0.210 0.333
Ge 0.877 0.210 0.667

Properties
Crystal system: orthorhombic
Space-group type: Immm
Uncorrected energy, eV/atom: -3.85
DOS at the Fermi energy, states/eV/cell: 1.630
Distance to the lowest polymorph of the same formula, meV/atom: 11
DFT formation energy, eV/atom: -0.231


[6]
Density functional theory data (PBE) for a relaxed structure of BaNa2Ge2.

Cell: 8.120 8.120 4.878 Å, 90.00 90.00 90.00°
Fractional positions:
Ba 0.000 0.000 0.000
Ba 0.500 0.500 0.000
Na 0.155 0.345 0.500
Na 0.345 0.845 0.500
Na 0.655 0.155 0.500
Na 0.845 0.655 0.500
Ge 0.104 0.604 0.000
Ge 0.396 0.104 0.000
Ge 0.604 0.896 0.000
Ge 0.896 0.396 0.000

Properties
Crystal system: tetragonal
Space-group type: P4/mbm
Uncorrected energy, eV/atom: -2.90
DOS at the Fermi energy, states/eV/cell: 4.188
Distance to the lowest polymorph of the same formula, meV/atom: 162
DFT formation energy, eV/atom: -0.140


[7]
Density functional theory data (PBE) for a relaxed structure of Ba2NaGe.

Cell: 7.928 7.928 7.928 Å, 103.49 103.49 122.23°
Fractional positions:
Ba 0.062 0.625 0.937
Ba 0.375 0.312 0.437
Ba 0.688 0.125 0.063
Ba 0.875 0.938 0.563
Na 0.250 0.750 0.500
Na 0.500 0.500 0.000
Ge 0.000 0.000 0.000
Ge 0.750 0.250 0.500

Properties
Crystal system: tetragonal
Space-group type: I-42d
Uncorrected energy, eV/atom: -2.50
DOS at the Fermi energy, states/eV/cell: 8.125
DFT formation energy, eV/atom: -0.050


[8]
Density functional theory data (PBE) for a relaxed structure of BaNaNb2Ge.

Cell: 5.027 5.027 5.486 Å, 90.00 90.00 90.00°
Fractional positions:
Ba 0.000 0.000 0.000
Na 0.000 0.000 0.500
Nb 0.000 0.500 0.500
Nb 0.500 0.000 0.500
Ge 0.500 0.500 0.000

Properties
Crystal system: tetragonal
Space-group type: P4/mmm
Uncorrected energy, eV/atom: -3.73
DOS at the Fermi energy, states/eV/cell: 5.785
DFT formation energy, eV/atom: 1.868


[9]
Density functional theory data (PBE) for a relaxed structure of BaNaNdGe3O9.

Cell: 5.946 11.863 13.059 Å, 90.00 90.00 90.00°
Fractional positions:
Ba 0.108 0.114 0.082
Ba 0.392 0.886 0.582
Ba 0.608 0.386 0.918
Ba 0.892 0.614 0.418
Na 0.063 0.779 0.115
Na 0.437 0.221 0.615
Na 0.563 0.721 0.885
Na 0.937 0.279 0.385
Nd 0.116 0.464 0.142
Nd 0.384 0.536 0.642
Nd 0.616 0.036 0.858
Nd 0.884 0.964 0.358
Ge 0.098 0.860 0.860
Ge 0.101 0.590 0.884
Ge 0.109 0.204 0.812
Ge 0.391 0.796 0.312
Ge 0.399 0.410 0.384
Ge 0.402 0.140 0.360
Ge 0.598 0.640 0.140
Ge 0.601 0.910 0.116
Ge 0.609 0.296 0.188
Ge 0.891 0.704 0.688
Ge 0.899 0.090 0.616
Ge 0.902 0.360 0.640
O 0.000 0.493 0.972
O 0.000 0.993 0.528
O 0.039 0.462 0.567
O 0.115 0.334 0.738
O 0.117 0.732 0.939
O 0.124 0.100 0.709
O 0.132 0.117 0.311
O 0.139 0.697 0.617
O 0.142 0.437 0.324
O 0.145 0.811 0.382
O 0.355 0.189 0.882
O 0.358 0.563 0.824
O 0.361 0.303 0.117
O 0.368 0.883 0.811
O 0.376 0.900 0.209
O 0.383 0.268 0.439
O 0.385 0.666 0.238
O 0.461 0.538 0.067
O 0.500 0.007 0.028
O 0.500 0.507 0.472
O 0.539 0.038 0.433
O 0.615 0.166 0.262
O 0.617 0.768 0.061
O 0.624 0.400 0.291
O 0.632 0.383 0.689
O 0.639 0.803 0.383
O 0.642 0.063 0.676
O 0.645 0.689 0.618
O 0.855 0.311 0.118
O 0.858 0.937 0.176
O 0.861 0.197 0.883
O 0.868 0.617 0.189
O 0.876 0.600 0.791
O 0.883 0.232 0.561
O 0.885 0.834 0.762
O 0.961 0.962 0.933

Properties
Crystal system: orthorhombic
Space-group type: P2_12_12_1
Uncorrected energy, eV/atom: -6.67
Formation energy (no corrections), eV per atom: -2.24
DOS at the Fermi energy, states/eV/cell: 0.000


[10]
Density functional theory data (PBE) for a relaxed structure of Ba2NaNiGe.

Cell: 6.193 6.193 4.559 Å, 90.00 90.00 90.00°
Fractional positions:
Ba 0.000 0.500 0.000
Ba 0.500 0.000 0.000
Na 0.000 0.000 0.500
Ni 0.500 0.500 0.000
Ge 0.500 0.500 0.500

Properties
Crystal system: tetragonal
Space-group type: P4/mmm
Uncorrected energy, eV/atom: -3.30
DOS at the Fermi energy, states/eV/cell: 4.282
DFT formation energy, eV/atom: -0.187


[11]
Density functional theory data (PBE) for a relaxed structure of Ba2NaGeO.

Cell: 5.479 5.479 4.685 Å, 90.00 90.00 90.00°
Fractional positions:
Ba 0.000 0.500 0.000
Ba 0.500 0.000 0.000
Na 0.000 0.000 0.500
Ge 0.500 0.500 0.500
O 0.000 0.000 0.000

Properties
Crystal system: tetragonal
Space-group type: P4/mmm
Uncorrected energy, eV/atom: -4.06
Formation energy (no corrections), eV per atom: -1.11
DOS at the Fermi energy, states/eV/cell: 4.434


[12]
Density functional theory data (PBE) for a relaxed structure of Ba2NaGeO4.

Cell: 5.836 5.836 5.836 Å, 112.40 112.40 103.76°
Fractional positions:
Ba 0.000 0.000 0.000
Ba 0.750 0.250 0.500
Na 0.500 0.500 0.000
Ge 0.250 0.750 0.500
O 0.256 0.734 0.187
O 0.266 0.453 0.522
O 0.547 0.069 0.813
O 0.931 0.744 0.478

Properties
Crystal system: tetragonal
Space-group type: I-4
Uncorrected energy, eV/atom: -5.59
Formation energy (no corrections), eV per atom: -1.89
DOS at the Fermi energy, states/eV/cell: 1.800